1.
DFT (PBE-GGA) results for a relaxed structure of La3Tl2Os.

Properties
- Magnetization: 0.000 μB/cell
- N(E_F): 0.8135 states/eV/atom
- V: 31.14 Å³ per atom
- Electronic total energy: -5.383 eV per atom
- Calculated formation energy: -24.9 kJ/mol of atoms

Cell: 17.1523 5.5596 3.9181 Å, 90.00 90.08 90.00°
Space group C2/m (No. 12)
Unique sites:
La: 0.0000 0.0000 0.0000
La: 0.1259 0.5000 0.5006
Tl: 0.1965 0.0000 0.9984
Os: 0.0000 0.5000 0.0000



2.
DFT (PBE-GGA) results for a relaxed structure of La8TlOs2.

Properties
- Magnetization: 0.000 μB/cell
- N(E_F): 1.1974 states/eV/atom
- V: 33.07 Å³ per atom
- Electronic total energy: -5.987 eV per atom
- Energy above the lowest structure with this stoichiometry: 0.0 kJ/mol of formula units
- Calculated formation energy: -14.1 kJ/mol of atoms

Cell: 15.7565 6.9465 6.7006 Å, 90.00 97.23 90.00°
Space group C2/m (No. 12)
Unique sites:
La: 0.0695 0.0000 0.3317
La: 0.1324 0.2595 0.8867
La: 0.2029 0.5000 0.3841
Tl: 0.0000 0.5000 0.5000
Os: 0.2237 0.0000 0.2025